No. 1
DFT (GGA-PBE) results for crystalline LiNdCu at its relaxed geometry.

a = 10.042 Å, b = 3.924 Å, c = 7.391 Å
α = 90.00°, β = 101.95°, γ = 90.00°
Space group C2/m (No. 12)
Symmetry-distinct sites (fractional):
1 Li 0.137 0.000 0.441 (multiplicity 4)
2 Nd 0.120 0.500 0.827 (multiplicity 4)
3 Cu 0.181 0.500 0.233 (multiplicity 4)

Summary:
The volume comes out at 284.94 Å³/cell. The polymorph energy (0 for the lowest one) is 11.25 kJ per mole of atoms. For the size of the total moment, the calculation gives 0.00 μB/f.u.

***

No. 2
DFT (GGA-PBE) results for crystalline LiNd2Cu9 at its relaxed geometry.

a = 5.1521 Å, b = 5.1521 Å, c = 25.1147 Å
α = 90.00°, β = 90.00°, γ = 120.00°
Space group R-3m (No. 166, hexagonal axes)
Symmetry-distinct sites (fractional):
1 Li 0.0000 0.0000 0.0000 (multiplicity 3)
2 Nd 0.0000 0.0000 0.1350 (multiplicity 6)
3 Cu 0.0000 0.0000 0.3328 (multiplicity 6)
4 Cu 0.0000 0.0000 0.5000 (multiplicity 3)
5 Cu 0.0000 0.5000 0.0793 (multiplicity 18)

Summary:
The volume comes out at 577.33 Å³/cell. For the size of the total moment, the calculation gives 0.00 μB/f.u. The value obtained for the energy is -4.09 eV/atom.

***

No. 3
DFT (GGA-PBE) results for crystalline LiNdCu at its relaxed geometry.

a = 6.667 Å, b = 6.667 Å, c = 6.667 Å
α = 90.00°, β = 90.00°, γ = 90.00°
Space group F-43m (No. 216)
Symmetry-distinct sites (fractional):
1 Li 0.000 0.000 0.000 (multiplicity 4)
2 Nd 0.000 0.000 0.500 (multiplicity 4)
3 Cu 0.250 0.250 0.750 (multiplicity 4)

Summary:
The volume comes out at 296.32 Å³/cell. The polymorph energy (0 for the lowest one) is 17.01 kJ per mole of atoms. For the size of the total moment, the calculation gives 0.00 μB/f.u.

***

No. 4
DFT (GGA-PBE) results for crystalline Li4NdCu at its relaxed geometry.

a = 7.611 Å, b = 7.611 Å, c = 7.611 Å
α = 90.00°, β = 90.00°, γ = 90.00°
Space group F-43m (No. 216)
Symmetry-distinct sites (fractional):
1 Li 0.122 0.122 0.378 (multiplicity 16)
2 Nd 0.000 0.000 0.000 (multiplicity 4)
3 Cu 0.250 0.250 0.750 (multiplicity 4)

Summary:
The volume comes out at 440.80 Å³/cell. For the size of the total moment, the calculation gives 0.00 μB/f.u. The value obtained for the energy is -2.64 eV/atom.

***

No. 5
DFT (GGA-PBE) results for crystalline LiNdCu at its relaxed geometry.

a = 3.598 Å, b = 3.598 Å, c = 9.732 Å
α = 90.00°, β = 90.00°, γ = 90.00°
Space group I4mm (No. 107)
Symmetry-distinct sites (fractional):
1 Li 0.000 0.000 0.000 (multiplicity 2)
2 Nd 0.000 0.000 0.295 (multiplicity 2)
3 Cu 0.000 0.000 0.622 (multiplicity 2)

Summary:
The volume comes out at 125.96 Å³/cell. The polymorph energy (0 for the lowest one) is 8.49 kJ per mole of atoms. For the size of the total moment, the calculation gives 0.00 μB/f.u.

***

No. 6
DFT (GGA-PBE) results for crystalline LiNd2Cu2 at its relaxed geometry.

a = 7.751 Å, b = 7.751 Å, c = 3.876 Å
α = 90.00°, β = 90.00°, γ = 90.00°
Space group P4/mbm (No. 127)
Symmetry-distinct sites (fractional):
1 Li 0.000 0.000 0.000 (multiplicity 2)
2 Nd 0.173 0.327 0.500 (multiplicity 4)
3 Cu 0.119 0.619 0.000 (multiplicity 4)

Summary:
The volume comes out at 232.81 Å³/cell. For the size of the total moment, the calculation gives 0.00 μB/f.u. The value obtained for the energy is -4.04 eV/atom.

***

No. 7
DFT (GGA-PBE) results for crystalline LiNdCu17 at its relaxed geometry.

a = 8.5092 Å, b = 8.5092 Å, c = 12.5112 Å
α = 90.00°, β = 90.00°, γ = 120.00°
Space group R3m (No. 160, hexagonal axes)
Symmetry-distinct sites (fractional):
1 Li 0.0000 0.0000 0.0000 (multiplicity 3)
2 Nd 0.0000 0.0000 0.3160 (multiplicity 3)
3 Cu 0.0000 0.0000 0.5649 (multiplicity 3)
4 Cu 0.0000 0.0000 0.7600 (multiplicity 3)
5 Cu 0.0022 0.5011 0.1572 (multiplicity 9)
6 Cu 0.0034 0.5017 0.8131 (multiplicity 9)
7 Cu 0.0040 0.3006 0.6588 (multiplicity 18)
8 Cu 0.0079 0.5039 0.5054 (multiplicity 9)

Summary:
The volume comes out at 784.52 Å³/cell. For the size of the total moment, the calculation gives 0.00 μB/f.u. The value obtained for the energy is -4.04 eV/atom.

***

No. 8
DFT (GGA-PBE) results for crystalline Li3NdCu3 at its relaxed geometry.

a = 6.419 Å, b = 6.419 Å, c = 6.419 Å
α = 90.00°, β = 90.00°, γ = 90.00°
Space group Pm-3n (No. 223)
Symmetry-distinct sites (fractional):
1 Li 0.000 0.250 0.500 (multiplicity 6)
2 Nd 0.000 0.000 0.000 (multiplicity 2)
3 Cu 0.000 0.500 0.250 (multiplicity 6)

Summary:
The volume comes out at 264.48 Å³/cell. For the size of the total moment, the calculation gives 0.00 μB/f.u. The value obtained for the energy is -2.92 eV/atom.

***

No. 9
DFT (GGA-PBE) results for crystalline LiNd3Cu3 at its relaxed geometry.

a = 4.090 Å, b = 10.727 Å, c = 14.512 Å
α = 90.00°, β = 90.00°, γ = 90.00°
Space group Cmcm (No. 63)
Symmetry-distinct sites (fractional):
1 Li 0.000 0.000 0.000 (multiplicity 4)
2 Nd 0.000 0.018 0.250 (multiplicity 4)
3 Nd 0.000 0.299 0.102 (multiplicity 8)
4 Cu 0.000 0.274 0.750 (multiplicity 4)
5 Cu 0.000 0.410 0.599 (multiplicity 8)

Summary:
The volume comes out at 636.62 Å³/cell. For the size of the total moment, the calculation gives 0.00 μB/f.u. The value obtained for the energy is -4.18 eV/atom.

***

No. 10
DFT (GGA-PBE) results for crystalline LiNd2Cu3 at its relaxed geometry.

a = 7.371 Å, b = 8.828 Å, c = 15.094 Å
α = 90.00°, β = 90.00°, γ = 90.00°
Space group Fmmm (No. 69)
Symmetry-distinct sites (fractional):
1 Li 0.000 0.000 0.167 (multiplicity 8)
2 Nd 0.247 0.000 0.500 (multiplicity 8)
3 Nd 0.250 0.250 0.250 (multiplicity 8)
4 Cu 0.000 0.000 0.335 (multiplicity 8)
5 Cu 0.000 0.249 0.417 (multiplicity 16)

Summary:
The volume comes out at 982.09 Å³/cell. For the size of the total moment, the calculation gives 0.00 μB/f.u. The value obtained for the energy is -4.07 eV/atom.

***

No. 11
DFT (GGA-PBE) results for crystalline LiNd2Cu at its relaxed geometry.

a = 3.679 Å, b = 3.679 Å, c = 7.526 Å
α = 90.00°, β = 90.00°, γ = 90.00°
Space group P4/mmm (No. 123)
Symmetry-distinct sites (fractional):
1 Li 0.000 0.000 0.000 (multiplicity 1)
2 Nd 0.500 0.500 0.277 (multiplicity 2)
3 Cu 0.000 0.000 0.500 (multiplicity 1)

Summary:
The volume comes out at 101.88 Å³/cell. For the size of the total moment, the calculation gives 0.00 μB/f.u. The value obtained for the energy is -3.90 eV/atom.

***

No. 12
DFT (GGA-PBE) results for crystalline LiNdCu4 at its relaxed geometry.

a = 7.253 Å, b = 7.253 Å, c = 7.253 Å
α = 90.00°, β = 90.00°, γ = 90.00°
Space group F-43m (No. 216)
Symmetry-distinct sites (fractional):
1 Li 0.000 0.000 0.000 (multiplicity 4)
2 Nd 0.250 0.250 0.250 (multiplicity 4)
3 Cu 0.127 0.127 0.627 (multiplicity 16)

Summary:
The volume comes out at 381.52 Å³/cell. For the size of the total moment, the calculation gives 0.00 μB/f.u. The value obtained for the energy is -3.99 eV/atom.